The following is a DFT calculation (PBE-GGA) of a relaxed structure of La3Sm3TlIn2.

POSCAR file:
```
La3Sm3TlIn2
1.0
3.831 0.000 0.000
0.000 9.309 0.000
0.000 -4.655 8.062
In La Tl Sm
2 3 1 3
Cartesian
1.916 0.000 5.375
1.916 4.655 2.687
1.916 1.334 2.311
1.916 -3.320 5.751
1.916 6.641 0.000
0.000 0.000 0.000
0.000 2.844 4.927
0.000 -1.810 3.135
0.000 3.620 0.000
```

Final energy = -4.3811 eV/atom
Calculated formation energy = -28 kJ per mole of atoms
Mass density = 7.5 Mg/m³